A geometry-optimized SrLaZr2Au structure, computed with GGA-PBE.

Computed properties:
Total DFT energy (no corrections), Ry/atom: -0.3407
Space-group type: P4/mmm
E_form, meV/atom: 761

Geometry as POSCAR:
```
SrLaZr2Au
1.0
5.2608 0.0000 0.0000
0.0000 5.2608 0.0000
0.0000 0.0000 5.7672
Sr La Zr Au
1 1 2 1
Direct
0.0000 0.0000 0.0000
0.5000 0.5000 0.5000
0.0000 0.5000 0.5000
0.5000 0.0000 0.5000
0.5000 0.5000 0.0000
```